A geometry-optimized Sm19Dy4Er6 structure. Source: Alexandria, functional PBE.

Lattice parameters (Å, degrees): 10.8866 10.8866 10.8866 109.47 109.47 109.47
With the nearest neighbours (Å) after each atom.
Atoms (fractional coordinates):
Sm 0.0000 0.0000 0.0000  6 Sm 3.28
Sm 0.0000 0.2608 0.2608  5 Sm 3.28-3.61, 2 Dy 3.35, 2 Er 3.39
Sm 0.0000 0.7392 0.7392  5 Sm 3.28-3.61, 2 Dy 3.35, 2 Er 3.39
Sm 0.0171 0.7992 0.3421  1 Er 3.20, 2 Dy 3.36-3.45, 1 Sm 3.40
Sm 0.2008 0.2179 0.5429  1 Er 3.20, 2 Dy 3.36-3.45, 1 Sm 3.40
Sm 0.2179 0.5429 0.2008  1 Er 3.20, 2 Dy 3.36-3.45, 1 Sm 3.40
Sm 0.2608 0.0000 0.2608  5 Sm 3.28-3.61, 2 Dy 3.35, 2 Er 3.39
Sm 0.2608 0.2608 0.0000  5 Sm 3.28-3.61, 2 Dy 3.35, 2 Er 3.39
Sm 0.3250 0.7821 0.9829  1 Er 3.20, 2 Dy 3.36-3.45, 1 Sm 3.40
Sm 0.3421 0.0171 0.7992  1 Er 3.20, 2 Dy 3.36-3.45, 1 Sm 3.40
Sm 0.4571 0.6750 0.6579  1 Er 3.20, 2 Dy 3.36-3.45, 1 Sm 3.40
Sm 0.5429 0.2008 0.2179  1 Er 3.20, 2 Dy 3.36-3.45, 1 Sm 3.40
Sm 0.6579 0.4571 0.6750  1 Er 3.20, 2 Dy 3.36-3.45, 1 Sm 3.40
Sm 0.6750 0.6579 0.4571  1 Er 3.20, 2 Dy 3.36-3.45, 1 Sm 3.40
Sm 0.7392 0.0000 0.7392  5 Sm 3.28-3.61, 2 Dy 3.35, 2 Er 3.39
Sm 0.7392 0.7392 0.0000  5 Sm 3.28-3.61, 2 Dy 3.35, 2 Er 3.39
Sm 0.7821 0.9829 0.3250  1 Er 3.20, 2 Dy 3.36-3.45, 1 Sm 3.40
Sm 0.7992 0.3421 0.0171  1 Er 3.20, 2 Dy 3.36-3.45, 1 Sm 3.40
Sm 0.9829 0.3250 0.7821  1 Er 3.20, 2 Dy 3.36-3.45, 1 Sm 3.40
Dy 0.0000 0.0000 0.6404  9 Sm 3.35-3.45
Dy 0.0000 0.6404 0.0000  9 Sm 3.35-3.45
Dy 0.3596 0.3596 0.3596  9 Sm 3.35-3.45
Dy 0.6404 0.0000 0.0000  9 Sm 3.35-3.45
Er 0.1252 0.6252 0.5000  1 Er 3.15, 4 Sm 3.20-3.39
Er 0.3748 0.5000 0.8748  1 Er 3.15, 4 Sm 3.20-3.39
Er 0.5000 0.1252 0.6252  1 Er 3.15, 4 Sm 3.20-3.39
Er 0.5000 0.8748 0.3748  1 Er 3.15, 4 Sm 3.20-3.39
Er 0.6252 0.5000 0.1252  1 Er 3.15, 4 Sm 3.20-3.39
Er 0.8748 0.3748 0.5000  1 Er 3.15, 4 Sm 3.20-3.39

Calculated values
The electronic total energy is -124.53 eV per cell. For the formation energy from the elements, the calculation gives 0.38 eV per atom. The value obtained for the density of states at the Fermi level is 43.5 states/eV/f.u.


A geometry-optimized Sm3Dy3Er2 structure. Source: Alexandria, functional PBE.

Lattice parameters (Å, degrees): 10.6904 10.6904 10.6904 152.73 152.72 38.96
With the nearest neighbours (Å) after each atom.
Atoms (fractional coordinates):
Sm 0.0000 0.0000 0.0000  8 Dy 3.56-3.59, 4 Sm 3.57
Sm 0.1258 0.6258 0.5000  4 Er 3.55-3.56, 6 Dy 3.56-3.57, 2 Sm 3.57
Sm 0.8742 0.3743 0.5000  4 Er 3.55-3.56, 6 Dy 3.56-3.57, 2 Sm 3.57
Dy 0.3735 0.8735 0.5000  4 Er 3.54-3.55, 6 Sm 3.56-3.59, 2 Dy 3.59
Dy 0.5000 0.5000 0.0000  8 Sm 3.56-3.57, 4 Dy 3.59
Dy 0.6265 0.1265 0.5000  4 Er 3.54-3.55, 6 Sm 3.56-3.59, 2 Dy 3.59
Er 0.2497 0.2497 0.0000  4 Dy 3.54-3.55, 4 Sm 3.55-3.56, 4 Er 3.56
Er 0.7503 0.7503 0.0000  4 Dy 3.54-3.55, 4 Sm 3.55-3.56, 4 Er 3.56

Calculated values
The electronic total energy is -36.93 eV per cell. For the formation energy from the elements, the calculation gives 0.02 eV per atom. For the excess energy over the best structure of this formula in the dataset, the calculation gives 0 meV/atom. The value obtained for the density of states at the Fermi level is 11.6 states/eV/f.u.


A geometry-optimized Sm5Dy6Er2 structure. Source: Alexandria, functional PBE.

Lattice parameters (Å, degrees): 11.6200 20.4478 3.5800 90.00 90.00 90.00
With the nearest neighbours (Å) after each atom.
Atoms (fractional coordinates):
Sm 0.0000 0.0000 0.0000  6 Dy 3.36-3.48, 4 Sm 3.58-3.66
Sm 0.0861 0.2725 0.0000  5 Dy 3.33-3.49, 4 Er 3.49-3.59, 2 Sm 3.58
Sm 0.1982 0.5509 0.0000  6 Dy 3.52-3.62, 3 Sm 3.58-3.66, 2 Er 3.72
Sm 0.3018 0.0509 0.0000  6 Dy 3.52-3.62, 3 Sm 3.58-3.66, 2 Er 3.72
Sm 0.4139 0.7725 0.0000  5 Dy 3.33-3.49, 4 Er 3.49-3.59, 2 Sm 3.58
Sm 0.5000 0.5000 0.0000  6 Dy 3.36-3.48, 4 Sm 3.58-3.66
Sm 0.5861 0.2275 0.0000  5 Dy 3.33-3.49, 4 Er 3.49-3.59, 2 Sm 3.58
Sm 0.6982 0.9491 0.0000  6 Dy 3.52-3.62, 3 Sm 3.58-3.66, 2 Er 3.72
Sm 0.8018 0.4491 0.0000  6 Dy 3.52-3.62, 3 Sm 3.58-3.66, 2 Er 3.72
Sm 0.9139 0.7275 0.0000  5 Dy 3.33-3.49, 4 Er 3.49-3.59, 2 Sm 3.58
Dy 0.0608 0.4185 0.5000  6 Sm 3.49-3.62, 5 Dy 3.58-3.75, 1 Er 3.75
Dy 0.0821 0.1313 0.5000  1 Er 3.30, 6 Sm 3.36-3.52, 4 Dy 3.47-3.58
Dy 0.1734 0.8615 0.0000  2 Sm 3.33-3.48, 4 Dy 3.47-3.58, 2 Er 3.58
Dy 0.3266 0.3615 0.0000  2 Sm 3.33-3.48, 4 Dy 3.47-3.58, 2 Er 3.58
Dy 0.4179 0.6313 0.5000  1 Er 3.30, 6 Sm 3.36-3.52, 4 Dy 3.47-3.58
Dy 0.4392 0.9185 0.5000  6 Sm 3.49-3.62, 5 Dy 3.58-3.75, 1 Er 3.75
Dy 0.5608 0.0815 0.5000  6 Sm 3.49-3.62, 5 Dy 3.58-3.75, 1 Er 3.75
Dy 0.5821 0.3687 0.5000  1 Er 3.30, 6 Sm 3.36-3.52, 4 Dy 3.47-3.58
Dy 0.6734 0.6385 0.0000  2 Sm 3.33-3.48, 4 Dy 3.47-3.58, 2 Er 3.58
Dy 0.8266 0.1385 0.0000  2 Sm 3.33-3.48, 4 Dy 3.47-3.58, 2 Er 3.58
Dy 0.9179 0.8687 0.5000  1 Er 3.30, 6 Sm 3.36-3.52, 4 Dy 3.47-3.58
Dy 0.9392 0.5815 0.5000  6 Sm 3.49-3.62, 5 Dy 3.58-3.75, 1 Er 3.75
Er 0.1696 0.7097 0.5000  3 Dy 3.30-3.58, 4 Sm 3.49-3.59, 2 Er 3.58
Er 0.3304 0.2097 0.5000  3 Dy 3.30-3.58, 4 Sm 3.49-3.59, 2 Er 3.58
Er 0.6696 0.7903 0.5000  3 Dy 3.30-3.58, 4 Sm 3.49-3.59, 2 Er 3.58
Er 0.8304 0.2903 0.5000  3 Dy 3.30-3.58, 4 Sm 3.49-3.59, 2 Er 3.58

Calculated values
The electronic total energy is -118.19 eV per cell. For the formation energy from the elements, the calculation gives 0.10 eV per atom. The value obtained for the density of states at the Fermi level is 15.5 states/eV/f.u.


A geometry-optimized Sm7DyEr12 structure. Source: Alexandria, functional PBE.

Lattice parameters (Å, degrees): 8.7220 8.7220 8.7220 85.97 85.97 85.97
With the nearest neighbours (Å) after each atom.
Atoms (fractional coordinates):
Sm 0.0000 0.0000 0.0000  6 Er 3.29
Sm 0.1016 0.4255 0.3451  3 Sm 3.41-3.47, 6 Er 3.43-3.78
Sm 0.3451 0.1016 0.4255  3 Sm 3.41-3.47, 6 Er 3.43-3.78
Sm 0.4255 0.3451 0.1016  3 Sm 3.41-3.47, 6 Er 3.43-3.78
Sm 0.5745 0.6549 0.8984  3 Sm 3.41-3.47, 6 Er 3.43-3.78
Sm 0.6549 0.8984 0.5745  3 Sm 3.41-3.47, 6 Er 3.43-3.78
Sm 0.8984 0.5745 0.6549  3 Sm 3.41-3.47, 6 Er 3.43-3.78
Dy 0.5000 0.5000 0.5000  6 Er 3.40
Er 0.0031 0.8811 0.3663  5 Er 3.22-3.59, 2 Sm 3.29-3.43
Er 0.1189 0.6337 0.9969  5 Er 3.22-3.59, 2 Sm 3.29-3.43
Er 0.2279 0.3532 0.7559  4 Er 3.25-3.59, 1 Dy 3.40, 2 Sm 3.48-3.57
Er 0.2441 0.7721 0.6468  4 Er 3.25-3.59, 1 Dy 3.40, 2 Sm 3.48-3.57
Er 0.3532 0.7559 0.2279  4 Er 3.25-3.59, 1 Dy 3.40, 2 Sm 3.48-3.57
Er 0.3663 0.0031 0.8811  5 Er 3.22-3.59, 2 Sm 3.29-3.43
Er 0.6337 0.9969 0.1189  5 Er 3.22-3.59, 2 Sm 3.29-3.43
Er 0.6468 0.2441 0.7721  4 Er 3.25-3.59, 1 Dy 3.40, 2 Sm 3.48-3.57
Er 0.7559 0.2279 0.3532  4 Er 3.25-3.59, 1 Dy 3.40, 2 Sm 3.48-3.57
Er 0.7721 0.6468 0.2441  4 Er 3.25-3.59, 1 Dy 3.40, 2 Sm 3.48-3.57
Er 0.8811 0.3663 0.0031  5 Er 3.22-3.59, 2 Sm 3.29-3.43
Er 0.9969 0.1189 0.6337  5 Er 3.22-3.59, 2 Sm 3.29-3.43

Calculated values
The electronic total energy is -87.66 eV per cell. For the formation energy from the elements, the calculation gives 0.24 eV per atom. For the excess energy over the best structure of this formula in the dataset, the calculation gives 0 meV/atom. The value obtained for the density of states at the Fermi level is 35.7 states/eV/f.u.


A geometry-optimized SmDy2Er structure. Source: Alexandria, functional PBE.

Lattice parameters (Å, degrees): 3.5513 3.5513 10.0619 90.00 90.00 90.00
With the nearest neighbours (Å) after each atom.
Atoms (fractional coordinates):
Sm 0.0000 0.0000 0.0000  4 Sm 3.55, 8 Dy 3.58
Dy 0.5000 0.5000 0.2539  4 Er 3.53, 4 Dy 3.55, 4 Sm 3.58
Dy 0.5000 0.5000 0.7461  4 Er 3.53, 4 Dy 3.55, 4 Sm 3.58
Er 0.0000 0.0000 0.5000  8 Dy 3.53, 4 Er 3.55

Calculated values
The electronic total energy is -18.40 eV per cell. For the formation energy from the elements, the calculation gives 0.02 eV per atom. For the excess energy over the best structure of this formula in the dataset, the calculation gives 9 meV/atom. The value obtained for the density of states at the Fermi level is 5.0 states/eV/f.u.


A geometry-optimized Sm9DyEr2 structure. Source: Alexandria, functional PBE.

Lattice parameters (Å, degrees): 5.0909 5.0909 15.2609 90.00 90.00 90.00
With the nearest neighbours (Å) after each atom.
Atoms (fractional coordinates):
Sm 0.0000 0.0000 0.0000  4 Dy 3.60, 8 Sm 3.61
Sm 0.0000 0.0000 0.3338  8 Sm 3.59-3.60, 4 Er 3.60
Sm 0.0000 0.0000 0.6662  8 Sm 3.59-3.60, 4 Er 3.60
Sm 0.0000 0.5000 0.1673  2 Er 3.60, 8 Sm 3.60-3.61, 2 Dy 3.61
Sm 0.0000 0.5000 0.5000  8 Sm 3.59-3.60, 4 Er 3.59
Sm 0.0000 0.5000 0.8327  2 Er 3.60, 8 Sm 3.60-3.61, 2 Dy 3.61
Sm 0.5000 0.0000 0.1673  2 Er 3.60, 8 Sm 3.60-3.61, 2 Dy 3.61
Sm 0.5000 0.0000 0.5000  8 Sm 3.59-3.60, 4 Er 3.59
Sm 0.5000 0.0000 0.8327  2 Er 3.60, 8 Sm 3.60-3.61, 2 Dy 3.61
Dy 0.5000 0.5000 0.0000  12 Sm 3.60-3.61
Er 0.5000 0.5000 0.3337  12 Sm 3.59-3.60
Er 0.5000 0.5000 0.6663  12 Sm 3.59-3.60

Calculated values
The electronic total energy is -55.98 eV per cell. For the formation energy from the elements, the calculation gives 0.02 eV per atom. The value obtained for the density of states at the Fermi level is 18.8 states/eV/f.u.


- The highest formation energy from the elements belongs to which entry?
  Sm19Dy4Er6


- The lowest electronic total energy belongs to which entry?
  Sm19Dy4Er6


- What is the formation energy from the elements in the first record?
  0.38 eV per atom


- What is the formation energy from the elements in the second record?
  0.02 eV per atom